Material: BaCrPt
Method: DFT, GGA-PBE
State: relaxed

Output
Crystal system   hexagonal
DOS at the Fermi energy   1.1785 states/eV per atom
ΔH_f (0 K)   0.145 eV per atom
SG   P6_3/mmc

a = 4.1476 Å, b = 4.1476 Å, c = 10.5261 Å
α = 90.00°, β = 90.00°, γ = 120.00°
Last column: nearest neighbours and their distance in Å.
Fractional positions:
Ba 0.0000 0.0000 0.5000  6 Cr 3.56, 6 Pt 3.56
Ba 0.0000 0.0000 0.0000  6 Cr 3.56, 6 Pt 3.56
Cr 0.6667 0.3333 0.7500  3 Pt 2.39
Cr 0.3333 0.6667 0.2500  3 Pt 2.39
Pt 0.6667 0.3333 0.2500  3 Cr 2.39
Pt 0.3333 0.6667 0.7500  3 Cr 2.39